Entry 1:
A plane-wave DFT calculation with PBE was carried out for a geometry-optimized Rb3TmPa3Se8 structure.

## Properties
- SG = R-3m, No. 166

The structure in POSCAR format:
```
Rb3TmPa3Se8
1.0
4.154 2.398 8.273
-4.154 2.398 8.273
0.000 -4.796 8.273
Rb Tm Pa Se
3 1 3 8
Cartesian
-2.077 -1.199 8.273
-2.077 1.199 16.546
0.000 2.398 8.273
0.000 0.000 12.409
-4.154 0.000 12.409
-2.077 1.199 4.136
2.077 1.199 4.136
0.000 0.000 5.810
-2.056 -1.187 14.018
0.000 -2.374 10.800
-2.056 1.187 10.800
2.056 -1.187 14.018
0.000 2.374 14.018
2.056 1.187 10.800
0.000 0.000 19.009
```

Entry 2:
A plane-wave DFT calculation with PBE was carried out for a geometry-optimized Rb2TmPaSe4 structure.

## Properties
- SG = P2/m, No. 10

The structure in POSCAR format:
```
Rb2TmPaSe4
1.0
7.318 0.000 0.000
0.000 4.171 0.000
-2.380 0.000 8.075
Rb Tm Pa Se
2 1 1 4
Cartesian
0.000 0.000 0.000
3.659 2.085 0.000
-1.190 2.085 4.037
2.469 0.000 4.037
0.015 0.000 5.615
1.195 2.085 2.421
3.744 2.085 5.654
4.923 0.000 2.459
```

Entry 3:
A plane-wave DFT calculation with PBE was carried out for a geometry-optimized RbUPaSe4 structure.

## Properties
- SG = Imma, No. 74

The structure in POSCAR format:
```
RbUPaSe4
1.0
-4.366 4.414 6.419
4.366 -4.414 6.419
4.366 4.414 -6.419
Rb U Pa Se
2 2 2 8
Cartesian
0.000 2.207 1.614
4.366 2.207 4.805
4.366 0.000 0.000
0.000 0.000 6.419
2.183 2.207 -3.210
2.183 -2.207 3.210
4.366 -0.333 2.912
2.484 2.207 -0.345
6.247 2.207 -0.345
4.366 4.081 -2.912
0.000 0.333 9.331
-1.882 2.207 6.765
1.882 2.207 6.765
0.000 4.747 3.507
```

Entry 4:
A plane-wave DFT calculation with PBE was carried out for a geometry-optimized Rb3UPa2Se6 structure.

## Properties
- SG = C2/m, No. 12

The structure in POSCAR format:
```
Rb3UPa2Se6
1.0
3.627 -6.281 0.000
3.627 6.281 0.000
-2.418 0.000 8.197
Rb U Pa Se
3 1 2 6
Cartesian
0.000 0.000 0.000
3.627 2.090 0.000
3.627 -2.090 0.000
2.418 0.000 4.099
2.418 4.188 4.099
2.418 -4.188 4.099
1.202 2.107 2.441
-0.015 0.000 5.757
1.202 -2.107 2.441
3.634 2.107 5.757
4.850 0.000 2.440
3.634 -2.107 5.757
```

Entry 5:
A plane-wave DFT calculation with PBE was carried out for a geometry-optimized Rb2UPa2Se6 structure.

## Properties
- SG = C2/m, No. 12

The structure in POSCAR format:
```
Rb2UPa2Se6
1.0
3.586 -6.216 0.000
3.586 6.216 0.000
-2.378 0.000 8.345
Rb U Pa Se
2 1 2 6
Cartesian
3.586 4.150 0.000
3.586 -4.150 0.000
-1.189 0.000 4.173
2.396 2.059 4.173
2.396 -2.059 4.173
0.016 2.091 5.810
1.221 0.000 2.521
0.016 -2.091 5.810
4.777 2.091 2.535
3.571 0.000 5.824
4.777 -2.091 2.535
```

Entry 6:
A plane-wave DFT calculation with PBE was carried out for a geometry-optimized Rb4UPa3Se8 structure.

## Properties
- SG = R-3m, No. 166

The structure in POSCAR format:
```
Rb4UPa3Se8
1.0
4.189 2.418 8.200
-4.189 2.418 8.200
0.000 -4.837 8.200
Rb U Pa Se
4 1 3 8
Cartesian
0.000 0.000 0.000
-2.094 -1.209 8.200
-2.094 1.209 16.399
0.000 2.418 8.199
0.000 0.000 12.299
-4.189 0.000 12.299
-2.094 1.209 4.100
2.094 1.209 4.100
-2.106 -1.216 13.957
0.000 0.000 5.765
0.000 -2.432 10.642
-2.106 1.216 10.642
2.106 -1.216 13.957
0.000 2.432 13.957
0.000 0.000 18.833
2.106 1.216 10.642
```

Entry 7:
A plane-wave DFT calculation with PBE was carried out for a geometry-optimized Rb3YPa3Se8 structure.

## Properties
- SG = R-3m, No. 166

The structure in POSCAR format:
```
Rb3YPa3Se8
1.0
4.167 2.406 8.258
-4.167 2.406 8.258
0.000 -4.812 8.258
Rb Y Pa Se
3 1 3 8
Cartesian
-2.084 -1.203 8.258
-2.084 1.203 16.516
0.000 2.406 8.258
0.000 0.000 12.387
-4.167 0.000 12.387
-2.084 1.203 4.129
2.084 1.203 4.129
-2.091 -1.207 14.007
0.000 0.000 5.792
0.000 -2.414 10.768
-2.091 1.207 10.768
2.091 -1.207 14.007
0.000 2.414 14.007
0.000 0.000 18.982
2.091 1.207 10.768
```

Entry 8:
A plane-wave DFT calculation with PBE was carried out for a geometry-optimized Rb3Y2PaSe6 structure.

## Properties
- SG = C2/m, No. 12

The structure in POSCAR format:
```
Rb3Y2PaSe6
1.0
3.672 -6.359 0.000
3.672 6.359 0.000
-2.449 0.000 8.038
Rb Y Pa Se
3 2 1 6
Cartesian
0.000 0.000 0.000
3.672 2.132 0.000
3.672 -2.132 0.000
2.448 4.241 4.019
2.448 -4.241 4.019
2.448 0.000 4.019
1.228 2.114 2.428
0.007 0.000 5.612
1.228 -2.114 2.428
3.668 2.114 5.610
4.888 0.000 2.426
3.668 -2.114 5.610
```

Entry 9:
A plane-wave DFT calculation with PBE was carried out for a geometry-optimized RbYPaSe4 structure.

## Properties
- SG = Imma, No. 74

The structure in POSCAR format:
```
RbYPaSe4
1.0
-4.446 4.495 6.191
4.446 -4.495 6.191
4.446 4.495 -6.191
Rb Y Pa Se
2 2 2 8
Cartesian
0.000 2.248 1.604
4.446 2.248 4.587
2.223 2.248 -3.096
2.223 -2.248 3.096
4.446 0.000 0.000
0.000 0.000 6.191
4.446 -0.386 2.846
4.446 4.110 -2.846
2.613 2.248 -0.194
6.278 2.248 -0.194
-1.833 2.248 6.385
1.833 2.248 6.385
0.000 0.386 9.037
0.000 4.881 3.345
```

Entry 10:
A plane-wave DFT calculation with PBE was carried out for a geometry-optimized Rb3Y3PaSe8 structure.

## Properties
- SG = R-3m, No. 166

The structure in POSCAR format:
```
Rb3Y3PaSe8
1.0
4.214 2.433 8.135
-4.214 2.433 8.135
0.000 -4.866 8.135
Rb Y Pa Se
3 3 1 8
Cartesian
-2.107 -1.217 8.135
-2.107 1.217 16.269
0.000 2.433 8.135
-4.214 0.000 12.202
-2.107 1.217 4.067
2.107 1.217 4.067
0.000 0.000 12.202
0.000 0.000 5.648
-2.098 -1.211 13.769
0.000 -2.422 10.635
-2.098 1.211 10.635
2.098 -1.211 13.769
0.000 2.422 13.769
2.098 1.211 10.635
0.000 0.000 18.756
```

Entry 11:
A plane-wave DFT calculation with PBE was carried out for a geometry-optimized RbPaZnSe4 structure.

## Properties
- SG = P2_1/m, No. 11

The structure in POSCAR format:
```
RbPaZnSe4
1.0
6.634 0.000 0.000
0.000 6.964 0.000
-3.180 0.000 9.045
Rb Pa Zn Se
2 2 2 8
Cartesian
-0.109 1.741 4.109
3.563 5.223 4.936
1.972 5.223 0.493
1.482 1.741 8.552
-1.902 1.741 7.601
5.356 5.223 1.444
0.444 1.741 0.834
0.619 5.223 2.934
-0.284 3.591 7.288
-0.284 6.855 7.288
3.738 0.109 1.757
3.738 3.373 1.757
2.835 1.741 6.111
3.010 5.223 8.211
```

Entry 12:
A plane-wave DFT calculation with PBE was carried out for a geometry-optimized Rb3Pa3ZnSe8 structure.

## Properties
- SG = R-3m, No. 166

The structure in POSCAR format:
```
Rb3Pa3ZnSe8
1.0
4.160 2.402 8.206
-4.160 2.402 8.206
0.000 -4.803 8.206
Rb Pa Zn Se
3 3 1 8
Cartesian
-2.080 -1.201 8.206
-2.080 1.201 16.413
0.000 2.402 8.206
-4.160 0.000 12.310
-2.080 1.201 4.103
2.080 1.201 4.103
0.000 0.000 12.310
0.000 0.000 5.758
-2.037 -1.176 13.843
0.000 -2.352 10.776
-2.037 1.176 10.776
2.037 -1.176 13.843
0.000 2.352 13.843
2.037 1.176 10.776
0.000 0.000 18.862
```

Number 1: uncorrected formation energy -1432 meV per atom. Number 2: uncorrected formation energy -1482 meV per atom. Number 3: uncorrected formation energy -1205 meV per atom. Number 4: uncorrected formation energy -1271 meV per atom. Number 5: uncorrected formation energy -1319 meV per atom. Number 6: uncorrected formation energy -1274 meV per atom. Number 7: uncorrected formation energy -1439 meV per atom. Number 8: uncorrected formation energy -1576 meV per atom. Number 9: uncorrected formation energy -1496 meV per atom. Number 10: uncorrected formation energy -1684 meV per atom. Number 11: uncorrected formation energy -1135 meV per atom. Number 12: uncorrected formation energy -1204 meV per atom.